# TiCr2Te4 PBE optimized geometry
# Energy relative to the lowest polymorph listed for this composition = 0 meV/atom
data_TiCr2Te4
_symmetry_space_group_name_H-M 'C 1 2/m 1'
_symmetry_Int_Tables_number 12
_symmetry_space_group_name_Hall '-C 2y'
_cell_length_a 14.274
_cell_length_b 3.951
_cell_length_c 7.062
_cell_angle_alpha 90.00
_cell_angle_beta 119.02
_cell_angle_gamma 90.00
loop_
_atom_site_label
_atom_site_type_symbol
_atom_site_fract_x
_atom_site_fract_y
_atom_site_fract_z
Ti1 Ti 0.000 0.000 0.000
Cr1 Cr 0.242 0.500 0.726
Te1 Te 0.123 0.000 0.450
Te2 Te 0.133 0.500 0.967

# TiCrTe3 PBE optimized geometry
# Energy relative to the lowest polymorph listed for this composition = 1105 meV/atom
data_TiCrTe3
_symmetry_space_group_name_H-M 'P m -3 m'
_symmetry_Int_Tables_number 221
_symmetry_space_group_name_Hall '-P 4 2 3'
_cell_length_a 5.264
_cell_length_b 5.264
_cell_length_c 5.264
_cell_angle_alpha 90.00
_cell_angle_beta 90.00
_cell_angle_gamma 90.00
loop_
_atom_site_label
_atom_site_type_symbol
_atom_site_fract_x
_atom_site_fract_y
_atom_site_fract_z
Ti1 Ti 0.000 0.000 0.000
Cr1 Cr 0.500 0.500 0.500
Te1 Te 0.000 0.000 0.500

# Ti4CrTe8 PBE optimized geometry
# Energy relative to the lowest polymorph listed for this composition = 0 meV/atom
data_Ti4CrTe8
_symmetry_space_group_name_H-M 'C 1 2/m 1'
_symmetry_Int_Tables_number 12
_symmetry_space_group_name_Hall '-C 2y'
_cell_length_a 12.962
_cell_length_b 7.723
_cell_length_c 9.224
_cell_angle_alpha 90.00
_cell_angle_beta 133.99
_cell_angle_gamma 90.00
loop_
_atom_site_label
_atom_site_type_symbol
_atom_site_fract_x
_atom_site_fract_y
_atom_site_fract_z
Ti1 Ti 0.000 0.229 0.000
Ti2 Ti 0.245 0.000 0.486
Cr1 Cr 0.000 0.500 0.500
Te1 Te 0.040 0.500 0.836
Te2 Te 0.051 0.000 0.830
Te3 Te 0.204 0.246 0.671

# TiCr2Te4 PBE optimized geometry
# Energy relative to the lowest polymorph listed for this composition = 14 meV/atom
data_TiCr2Te4
_symmetry_space_group_name_H-M 'C 1 m 1'
_symmetry_Int_Tables_number 8
_symmetry_space_group_name_Hall 'C -2y'
_cell_length_a 14.309
_cell_length_b 3.921
_cell_length_c 6.911
_cell_angle_alpha 90.00
_cell_angle_beta 116.92
_cell_angle_gamma 90.00
loop_
_atom_site_label
_atom_site_type_symbol
_atom_site_fract_x
_atom_site_fract_y
_atom_site_fract_z
Ti1 Ti 0.000 0.000 0.000
Cr1 Cr 0.010 0.500 0.581
Cr2 Cr 0.251 0.000 0.289
Te1 Te 0.117 0.500 0.322
Te2 Te 0.142 0.000 0.840
Te3 Te 0.366 0.000 0.741
Te4 Te 0.389 0.500 0.270

Computed, not measured: crystalline Ti3CrTe6 at its relaxed geometry at the PBE level of DFT.

Structure (CIF):
```
data_Ti3CrTe6
_symmetry_space_group_name_H-M 'P 1 21/c 1'
_symmetry_Int_Tables_number 14
_symmetry_space_group_name_Hall '-P 2ybc'
_cell_length_a 6.901
_cell_length_b 7.104
_cell_length_c 12.182
_cell_angle_alpha 90.00
_cell_angle_beta 123.69
_cell_angle_gamma 90.00
loop_
_atom_site_label
_atom_site_type_symbol
_atom_site_fract_x
_atom_site_fract_y
_atom_site_fract_z
Ti1 Ti 0.000 0.000 0.000
Ti2 Ti 0.203 0.138 0.755
Cr1 Cr 0.500 0.000 0.500
Te1 Te 0.087 0.162 0.418
Te2 Te 0.251 0.675 0.418
Te3 Te 0.419 0.034 0.249
```

Computed, not measured: crystalline Ti2CrTe at its relaxed geometry at the PBE level of DFT.

Structure (CIF):
```
data_Ti2CrTe
_symmetry_space_group_name_H-M 'I -4 2 d'
_symmetry_Int_Tables_number 122
_symmetry_space_group_name_Hall 'I -4 2bw'
_cell_length_a 3.925
_cell_length_b 3.925
_cell_length_c 18.797
_cell_angle_alpha 90.00
_cell_angle_beta 90.00
_cell_angle_gamma 90.00
loop_
_atom_site_label
_atom_site_type_symbol
_atom_site_fract_x
_atom_site_fract_y
_atom_site_fract_z
Ti1 Ti 0.248 0.250 0.125
Cr1 Cr 0.000 0.000 0.000
Te1 Te 0.000 0.000 0.500
```

# Ti4CrTe8 PBE optimized geometry
# Energy relative to the lowest polymorph listed for this composition = 61 meV/atom
data_Ti4CrTe8
_symmetry_space_group_name_H-M 'R -3 m'
_symmetry_Int_Tables_number 166
_symmetry_space_group_name_Hall '-R 3 2"'
_cell_length_a 7.5969
_cell_length_b 7.5969
_cell_length_c 21.1573
_cell_angle_alpha 90.00
_cell_angle_beta 90.00
_cell_angle_gamma 120.00
loop_
_atom_site_label
_atom_site_type_symbol
_atom_site_fract_x
_atom_site_fract_y
_atom_site_fract_z
Ti1 Ti 0.0000 0.0000 0.0000
Ti2 Ti 0.0000 0.5000 0.0000
Cr1 Cr 0.0000 0.0000 0.5000
Te1 Te 0.0000 0.0000 0.2521
Te2 Te 0.0006 0.5003 0.2514

# TiCrTe3 PBE optimized geometry
# Energy relative to the lowest polymorph listed for this composition = 700 meV/atom
data_TiCrTe3
_symmetry_space_group_name_H-M 'P m -3 m'
_symmetry_Int_Tables_number 221
_symmetry_space_group_name_Hall '-P 4 2 3'
_cell_length_a 5.171
_cell_length_b 5.171
_cell_length_c 5.171
_cell_angle_alpha 90.00
_cell_angle_beta 90.00
_cell_angle_gamma 90.00
loop_
_atom_site_label
_atom_site_type_symbol
_atom_site_fract_x
_atom_site_fract_y
_atom_site_fract_z
Ti1 Ti 0.000 0.000 0.000
Cr1 Cr 0.500 0.500 0.500
Te1 Te 0.000 0.500 0.500

# Ti4CrTe8 PBE optimized geometry
# Energy relative to the lowest polymorph listed for this composition = 0 meV/atom
data_Ti4CrTe8
_symmetry_space_group_name_H-M 'C 1 2/c 1'
_symmetry_Int_Tables_number 15
_symmetry_space_group_name_Hall '-C 2yc'
_cell_length_a 13.347
_cell_length_b 7.674
_cell_length_c 14.560
_cell_angle_alpha 90.00
_cell_angle_beta 117.03
_cell_angle_gamma 90.00
loop_
_atom_site_label
_atom_site_type_symbol
_atom_site_fract_x
_atom_site_fract_y
_atom_site_fract_z
Ti1 Ti 0.127 0.115 0.498
Ti2 Ti 0.136 0.364 0.000
Cr1 Cr 0.000 0.131 0.250
Te1 Te 0.020 0.379 0.123
Te2 Te 0.025 0.129 0.631
Te3 Te 0.224 0.377 0.864
Te4 Te 0.229 0.127 0.369

Computed, not measured: crystalline TiCrTe at its relaxed geometry at the PBE level of DFT.

Structure (CIF):
```
data_TiCrTe
_symmetry_space_group_name_H-M 'P 4/n m m'
_symmetry_Int_Tables_number 129
_cell_length_a 3.480
_cell_length_b 3.480
_cell_length_c 9.960
_cell_angle_alpha 90.00
_cell_angle_beta 90.00
_cell_angle_gamma 90.00
loop_
_symmetry_equiv_pos_as_xyz
'x,y,z'
'-x,-y,-z'
'-y+1/2,x,z'
'y+1/2,-x,-z'
'-x+1/2,-y+1/2,z'
'x+1/2,y+1/2,-z'
'y,-x+1/2,z'
'-y,x+1/2,-z'
'x+1/2,-y,-z'
'-x+1/2,y,z'
'-y,-x,-z'
'y,x,z'
'-x,y+1/2,-z'
'x,-y+1/2,z'
'y+1/2,x+1/2,-z'
'-y+1/2,-x+1/2,z'
loop_
_atom_site_label
_atom_site_type_symbol
_atom_site_fract_x
_atom_site_fract_y
_atom_site_fract_z
Ti1 Ti 0.250 0.250 0.196
Cr1 Cr 0.250 0.250 0.968
Te1 Te 0.250 0.250 0.668
```

Computed, not measured: crystalline TiCrTe6 at its relaxed geometry at the PBE level of DFT.

Structure (CIF):
```
data_TiCrTe6
_symmetry_space_group_name_H-M 'P -1'
_symmetry_Int_Tables_number 2
_symmetry_space_group_name_Hall '-P 1'
_cell_length_a 6.450
_cell_length_b 6.691
_cell_length_c 6.818
_cell_angle_alpha 70.61
_cell_angle_beta 63.02
_cell_angle_gamma 62.36
loop_
_atom_site_label
_atom_site_type_symbol
_atom_site_fract_x
_atom_site_fract_y
_atom_site_fract_z
Ti1 Ti 0.000 0.000 0.000
Cr1 Cr 0.500 0.500 0.500
Te1 Te 0.036 0.760 0.733
Te2 Te 0.298 0.593 0.187
Te3 Te 0.410 0.109 0.687
```

Computed, not measured: crystalline Ti2Tl3CrTe6 at its relaxed geometry at the PBE level of DFT.

Structure (CIF):
```
data_Ti2Tl3CrTe6
_symmetry_space_group_name_H-M 'C 1 2/m 1'
_symmetry_Int_Tables_number 12
_symmetry_space_group_name_Hall '-C 2y'
_cell_length_a 7.135
_cell_length_b 12.307
_cell_length_c 8.387
_cell_angle_alpha 90.00
_cell_angle_beta 106.42
_cell_angle_gamma 90.00
loop_
_atom_site_label
_atom_site_type_symbol
_atom_site_fract_x
_atom_site_fract_y
_atom_site_fract_z
Ti1 Ti 0.000 0.162 0.000
Tl1 Tl 0.000 0.000 0.500
Tl2 Tl 0.000 0.329 0.500
Cr1 Cr 0.000 0.500 0.000
Te1 Te 0.227 0.335 0.189
Te2 Te 0.239 0.000 0.196
```

Number 1: calculated density 6.3 g/cm3, energy -6.04 eV/atom, ΔE_f (raw) -0.368 eV per atom. Number 2: calculated density 5.5 g/cm3, energy -4.54 eV/atom, ΔE_f (raw) 0.851 eV per atom. Number 3: calculated density 6.3 g/cm3, energy -5.73 eV/atom, ΔE_f (raw) -0.624 eV per atom. Number 4: calculated density 6.4 g/cm3, energy -6.03 eV/atom, ΔE_f (raw) -0.354 eV per atom. Number 5: calculated density 6.4 g/cm3, energy -5.68 eV/atom, ΔE_f (raw) -0.459 eV per atom. Number 6: calculated density 6.3 g/cm3, energy -6.70 eV/atom, ΔE_f (raw) 0.437 eV per atom. Number 7: calculated density 6.0 g/cm3, energy -5.67 eV/atom, ΔE_f (raw) -0.563 eV per atom. Number 8: calculated density 5.8 g/cm3, energy -4.94 eV/atom, ΔE_f (raw) 0.447 eV per atom. Number 9: calculated density 6.3 g/cm3, energy -5.73 eV/atom, ΔE_f (raw) -0.624 eV per atom. Number 10: calculated density 6.3 g/cm3, energy -7.03 eV/atom, ΔE_f (raw) -0.142 eV per atom. Number 11: calculated density 6.3 g/cm3, energy -4.74 eV/atom, ΔE_f (raw) -0.195 eV per atom. Number 12: calculated density 7.2 g/cm3, energy -4.70 eV/atom, ΔE_f (raw) -0.420 eV per atom.